No. 1
A plane-wave DFT calculation with PBE-GGA was carried out for a relaxed Ba2SiPbAu6 crystal.

```
20
Lattice="6.770 0.000 0.000 3.385 5.863 0.000 3.385 1.954 13.059" Properties=species:S:1:pos:R:3 pbc="T T T"
Ba 10.155 5.863 4.350
Ba 3.385 1.954 8.709
Ba 10.155 5.863 10.900
Ba 3.385 1.954 2.160
Si 0.000 0.000 0.000
Si 6.770 3.909 6.530
Pb 6.770 3.909 3.485
Pb 6.770 3.909 9.575
Au 8.757 2.762 5.501
Au 6.770 6.203 5.501
Au 4.783 2.762 5.501
Au 4.783 5.056 7.558
Au 6.770 1.614 7.558
Au 8.757 5.056 7.558
Au 8.238 3.061 11.994
Au 6.770 5.604 11.994
Au 5.302 3.061 11.994
Au 5.302 4.756 1.066
Au 6.770 2.214 1.066
Au 8.238 4.756 1.066
```

## Properties
Energy relative to the elements, uncorrected: -0.4765 eV/atom
Space-group type: R-3m (166)
VASP energy: -74.81 eV for the cell shown


No. 2
A plane-wave DFT calculation with PBE-GGA was carried out for a relaxed Ba2SiPb2Au4 crystal.

```
9
Lattice="0.284 5.621 4.311 -6.118 -2.007 -2.969 0.700 -6.580 2.545" Properties=species:S:1:pos:R:3 pbc="T T T"
Ba -4.271 -0.340 0.566
Ba -0.862 -2.626 3.323
Si 0.000 0.000 0.000
Pb -3.636 -5.762 -0.284
Pb -1.782 -2.825 -0.139
Au -4.418 -3.147 -1.594
Au -3.925 -3.628 1.844
Au -1.000 -5.440 1.171
Au -1.209 0.662 2.044
```

## Properties
Energy relative to the elements, uncorrected: -0.4041 eV/atom
Space-group type: I4/mmm (139)
VASP energy: -33.43 eV for the cell shown


No. 3
A plane-wave DFT calculation with PBE-GGA was carried out for a relaxed BaSmPbAu crystal.

```
4
Lattice="-1.592 -0.697 -5.367 2.771 -3.627 -3.316 -2.474 -4.809 -1.607" Properties=species:S:1:pos:R:3 pbc="T T T"
Pb -0.324 -2.283 -2.572
Au -0.971 -6.849 -7.717
Ba 0.000 0.000 0.000
Sm -0.648 -4.566 -5.145
```

## Properties
Space-group type: F-43m (216)
VASP energy: -15.72 eV for the cell shown


No. 4
A plane-wave DFT calculation with PBE-GGA was carried out for a relaxed Ba2Sn3PbAu4 crystal.

```
10
Lattice="4.913 0.000 0.000 0.000 4.913 0.000 0.000 0.000 11.477" Properties=species:S:1:pos:R:3 pbc="T T T"
Ba 2.456 0.000 2.737
Ba 0.000 2.456 8.740
Sn 0.000 0.000 5.738
Sn 2.456 0.000 10.092
Sn 0.000 2.456 1.385
Pb 2.456 2.456 5.738
Au 2.456 2.456 0.000
Au 0.000 0.000 0.000
Au 2.456 0.000 7.343
Au 0.000 2.456 4.133
```

## Properties
Space-group type: P-4m2 (115)
VASP energy: -38.38 eV for the cell shown


No. 5
A plane-wave DFT calculation with PBE-GGA was carried out for a relaxed BaSn2PbAu2 crystal.

```
6
Lattice="4.957 0.000 0.000 -2.478 4.293 0.000 0.000 0.000 7.958" Properties=species:S:1:pos:R:3 pbc="T T T"
Ba 0.000 0.000 0.000
Sn 2.478 1.431 2.262
Sn 0.000 2.862 5.696
Pb 0.000 0.000 3.979
Au 2.478 1.431 5.573
Au 0.000 2.862 2.385
```

## Properties
Space-group type: P-3m1 (164)
VASP energy: -22.52 eV for the cell shown


No. 6
A plane-wave DFT calculation with PBE-GGA was carried out for a relaxed Ba2SnPbAu crystal.

```
5
Lattice="6.262 0.000 0.000 0.000 5.397 0.000 0.000 0.000 6.262" Properties=species:S:1:pos:R:3 pbc="T T T"
Pb 0.000 2.699 0.000
Au 0.000 0.000 0.000
Ba 0.000 0.000 3.131
Ba 3.131 0.000 0.000
Sn 3.131 2.699 3.131
```

## Properties
Space-group type: P4/mmm (123)
VASP energy: -16.16 eV for the cell shown


No. 7
A plane-wave DFT calculation with PBE-GGA was carried out for a relaxed Ba2SnPb6Au crystal.

```
20
Lattice="7.601 0.000 0.000 3.801 6.583 0.000 3.801 2.194 14.595" Properties=species:S:1:pos:R:3 pbc="T T T"
Ba 11.402 6.583 5.097
Ba 3.801 2.194 9.498
Ba 11.402 6.583 12.581
Ba 3.801 2.194 2.013
Sn 7.601 4.389 4.087
Sn 7.601 4.389 10.508
Pb 9.804 3.117 5.847
Pb 7.601 6.932 5.847
Pb 5.398 3.117 5.847
Pb 5.398 5.661 8.748
Pb 7.601 1.845 8.748
Pb 9.804 5.661 8.748
Pb 9.256 3.433 13.042
Pb 7.601 6.299 13.042
Pb 5.947 3.433 13.042
Pb 5.947 5.344 1.553
Pb 7.601 2.478 1.553
Pb 9.256 5.344 1.553
Au 0.000 0.000 0.000
Au 7.601 4.389 7.297
```

## Properties
Space-group type: R-3m (166)
VASP energy: -70.43 eV for the cell shown


No. 8
A plane-wave DFT calculation with PBE-GGA was carried out for a relaxed Ba3Sn2Pb2Au4 crystal.

```
11
Lattice="-4.232 -0.956 -2.041 3.558 -3.205 -0.244 -5.690 -7.480 15.304" Properties=species:S:1:pos:R:3 pbc="T T T"
Ba -4.148 -5.453 11.157
Ba 0.000 0.000 0.000
Ba -1.542 -2.027 4.147
Sn -6.537 -8.149 11.742
Sn 0.173 -3.492 1.278
Pb -4.137 -4.994 5.287
Pb -2.227 -6.647 7.733
Au -2.412 -2.727 0.648
Au -3.952 -8.914 12.372
Au -5.105 -6.267 7.891
Au -1.259 -5.374 5.129
```

## Properties
Space-group type: P-3m1 (164)
VASP energy: -40.22 eV for the cell shown


No. 9
A plane-wave DFT calculation with PBE-GGA was carried out for a relaxed BaSrPb2Au crystal.

```
5
Lattice="-5.023 -2.128 2.801 3.852 -4.808 3.255 0.939 3.895 4.643" Properties=species:S:1:pos:R:3 pbc="T T T"
Pb 0.469 1.947 2.321
Pb -2.511 -1.064 1.400
Sr 1.926 -2.404 1.627
Au -0.116 -1.521 5.349
Ba 0.000 0.000 0.000
```

## Properties
Space-group type: P4/mmm (123)
VASP energy: -9.79 eV for the cell shown


No. 10
A plane-wave DFT calculation with PBE-GGA was carried out for a relaxed BaTl2PbAu crystal.

```
5
Lattice="-1.220 -4.895 -0.036 1.443 -0.325 -4.845 5.687 1.151 4.266" Properties=species:S:1:pos:R:3 pbc="T T T"
Ba 5.085 -1.280 1.600
Tl 1.737 -3.038 0.721
Tl 0.550 -0.138 0.173
Pb 3.045 -0.747 -1.692
Au 3.864 -3.554 -1.259
```

## Properties
Space-group type: Imm2 (44)
VASP energy: -15.41 eV for the cell shown


No. 11
A plane-wave DFT calculation with PBE-GGA was carried out for a relaxed Ba2Tl4PbAu3 crystal.

```
10
Lattice="-3.867 -1.360 2.727 0.289 -4.549 -1.859 7.668 -3.287 9.234" Properties=species:S:1:pos:R:3 pbc="T T T"
Ba -0.041 -1.491 3.643
Ba 5.920 -4.750 6.025
Tl -1.789 -2.955 0.434
Tl 0.000 0.000 0.000
Tl 2.997 -2.793 7.300
Tl 2.882 -3.448 2.367
Pb 2.045 -4.598 5.051
Au 3.834 -1.644 4.617
Au 4.731 -3.537 9.389
Au 1.148 -2.705 0.279
```

## Properties
Space-group type: P-4m2 (115)
VASP energy: -30.33 eV for the cell shown


No. 12
A plane-wave DFT calculation with PBE-GGA was carried out for a relaxed BaTlPb2Au2 crystal.

```
6
Lattice="5.112 0.000 0.000 -2.556 4.427 0.000 0.000 0.000 7.893" Properties=species:S:1:pos:R:3 pbc="T T T"
Ba 0.000 0.000 0.000
Tl 0.000 0.000 3.946
Pb 0.000 2.951 5.440
Pb 2.556 1.476 2.453
Au 0.000 2.951 2.090
Au 2.556 1.476 5.803
```

## Properties
Space-group type: P-3m1 (164)
VASP energy: -19.96 eV for the cell shown